Crystalline HfInCo2 at its relaxed geometry, computed with GGA-PBE.

abc: 6.827 6.827 5.797
angles: 90.00 90.00 90.00
Space group I-42d (No. 122)
Inequivalent atoms, fractional coordinates:
Hf: 0.000 0.000 0.000 x4
In: 0.000 0.000 0.500 x4
Co: 0.236 0.750 0.125 x8

Calculated values
As for the total DFT energy (no corrections): -6.382 eV per atom. The value obtained for the total moment is 0.0000 μB/atom. As for the density of states at the Fermi level: 13.56 states/eV per cell.